First-principles (PBE) data for an optimized crystal structure of TiSbRh2, as listed in Alexandria.

Geometry as extended XYZ:
```
8
Lattice="-2.0602 2.0602 8.5572 2.0602 -2.0602 8.5572 2.0602 2.0602 -8.5572" Properties=species:S:1:pos:R:3 pbc="T T T"
Ti 0.0000 0.0000 0.0000
Ti 0.0000 2.0602 4.2786
Sb 2.0602 0.0000 4.2786
Sb 0.0000 0.0000 8.5572
Rh 3.0903 0.9796 -2.1393
Rh 0.9796 1.0301 2.1393
Rh -1.0301 1.0806 6.4179
Rh 1.0806 1.0301 10.6965
```

Properties
Energy relative to the elements, uncorrected, kcal/mol of atoms: -5.18

---

First-principles (PBE) data for an optimized crystal structure of SrHfIr2, as listed in Alexandria.

Geometry as extended XYZ:
```
4
Lattice="0.0000 3.3997 3.3997 3.3997 0.0000 3.3997 3.3997 3.3997 0.0000" Properties=species:S:1:pos:R:3 pbc="T T T"
Sr 0.0000 0.0000 0.0000
Hf 3.3997 3.3997 3.3997
Ir 1.6998 1.6998 1.6998
Ir 5.0995 5.0995 5.0995
```

Properties
Energy above the lowest structure with this stoichiometry, eV per atom: 0.323
Energy of formation from the pure elements, eV per atom: -0.24

---

First-principles (PBE) data for an optimized crystal structure of HoH6Pd2Rh, as listed in Alexandria.

Geometry as extended XYZ:
```
20
Lattice="4.6264 0.0000 0.0000 0.0000 8.7451 0.0000 0.0000 0.0000 4.5178" Properties=species:S:1:pos:R:3 pbc="T T T"
Ho 0.0000 0.0000 0.0000
Ho 2.3132 4.3726 2.2589
H 0.7250 3.1630 1.0799
H 0.7250 3.1630 3.4379
H 0.7965 0.7569 2.2589
H 1.5167 5.1295 0.0000
H 1.5883 7.5356 1.1790
H 1.5883 7.5356 3.3388
H 3.0382 1.2095 1.1790
H 3.0382 1.2095 3.3388
H 3.1097 3.6157 0.0000
H 3.8300 7.9882 2.2589
H 3.9015 5.5821 1.0799
H 3.9015 5.5821 3.4379
Pd 0.2831 6.5205 2.2589
Pd 2.0301 2.1479 0.0000
Pd 2.5963 6.5972 0.0000
Pd 4.3434 2.2246 2.2589
Rh 0.0000 4.3726 0.0000
Rh 2.3132 0.0000 2.2589
```

---

First-principles (PBE) data for an optimized crystal structure of Zr3MoIr, as listed in Alexandria.

Geometry as extended XYZ:
```
5
Lattice="4.9176 0.0000 0.0000 0.0000 4.9176 0.0000 0.0000 0.0000 4.9176" Properties=species:S:1:pos:R:3 pbc="T T T"
Zr 0.0000 0.0000 2.4588
Zr 0.0000 2.4588 0.0000
Zr 2.4588 0.0000 0.0000
Mo 0.0000 0.0000 0.0000
Ir 2.4588 2.4588 2.4588
```

Properties
Energy above the lowest structure with this stoichiometry, eV per atom: 0.244
Energy of formation from the pure elements, eV per atom: 0.93

---

First-principles (PBE) data for an optimized crystal structure of YMn2Rh, as listed in Alexandria.

Geometry as extended XYZ:
```
4
Lattice="3.5721 -2.0657 0.0000 3.5721 2.0657 0.0000 -2.3884 0.0000 5.0278" Properties=species:S:1:pos:R:3 pbc="T T T"
Y 0.0000 0.0000 0.0000
Mn 2.3814 0.0000 2.1895
Mn 4.7638 0.0000 2.0875
Rh -0.0009 0.0000 3.2710
```

Properties
Energy of formation from the pure elements, eV per atom: -0.13

---

First-principles (PBE) data for an optimized crystal structure of Tb3Pm2Th, as listed in Alexandria.

Geometry as extended XYZ:
```
12
Lattice="-2.5513 5.0494 7.6548 2.5513 -5.0494 7.6548 2.5513 5.0494 -7.6548" Properties=species:S:1:pos:R:3 pbc="T T T"
Tb 0.0000 0.0000 0.0000
Tb 2.5513 0.0778 2.5742
Tb 0.0000 0.0778 5.0807
Tb 0.0000 5.0494 0.0000
Tb 2.5513 4.9716 2.5742
Tb 0.0000 4.9716 5.0807
Pm 2.5513 -2.5247 5.0926
Pm 2.5513 2.5247 0.0230
Pm 0.0000 2.5247 7.6319
Pm 0.0000 7.5740 2.5622
Th 0.0000 2.5247 2.5732
Th 2.5513 2.5247 5.0816
```

Properties
Energy above the lowest structure with this stoichiometry, eV per atom: 0.000
Energy of formation from the pure elements, eV per atom: 0.03

---

First-principles (PBE) data for an optimized crystal structure of MgCu3N3, as listed in Alexandria.

Geometry as extended XYZ:
```
7
Lattice="4.1363 0.0000 0.0000 0.0000 4.1363 0.0000 0.0000 0.0000 4.1363" Properties=species:S:1:pos:R:3 pbc="T T T"
Mg 0.0000 0.0000 0.0000
Cu 0.0000 2.0682 2.0682
Cu 2.0682 0.0000 2.0682
Cu 2.0682 2.0682 0.0000
N 0.0000 0.0000 2.0682
N 0.0000 2.0682 0.0000
N 2.0682 0.0000 0.0000
```

Properties
Energy relative to the elements, uncorrected, kcal/mol of atoms: 9.39

---

First-principles (PBE) data for an optimized crystal structure of SrAlSb2, as listed in Alexandria.

Geometry as extended XYZ:
```
4
Lattice="4.8396 -2.1654 0.0000 4.8396 2.1654 0.0000 -2.4895 0.0000 5.5747" Properties=species:S:1:pos:R:3 pbc="T T T"
Sr 0.0000 0.0000 0.0000
Al 3.5948 0.0000 2.7873
Sb 0.4194 0.0000 3.7063
Sb 6.7703 0.0000 1.8684
```

Properties
Energy relative to the elements, uncorrected, kcal/mol of atoms: -7.09

---

First-principles (PBE) data for an optimized crystal structure of ZrCoGeH, as listed in Alexandria.

Geometry as extended XYZ:
```
4
Lattice="4.1221 0.0000 0.0000 -2.0610 3.5698 0.0000 0.0000 0.0000 3.3577" Properties=species:S:1:pos:R:3 pbc="T T T"
Zr 0.0000 0.0000 0.0000
Co 2.0611 1.1899 1.6789
Ge 0.0000 2.3799 1.6789
H 2.0611 1.1899 0.0000
```

---

First-principles (PBE) data for an optimized crystal structure of BaMoSe2Br, as listed in Alexandria.

Geometry as extended XYZ:
```
5
Lattice="6.1980 0.0000 0.0000 0.0000 6.1980 0.0000 0.0000 0.0000 6.0634" Properties=species:S:1:pos:R:3 pbc="T T T"
Ba 0.0000 0.0000 0.0000
Mo 3.0990 3.0990 3.0317
Se 0.0000 3.0990 0.0000
Se 3.0990 0.0000 0.0000
Br 0.0000 0.0000 3.0317
```

Properties
Energy above the lowest structure with this stoichiometry, eV per atom: 1.451
Energy relative to the elements, uncorrected, kcal/mol of atoms: 14.08

---

First-principles (PBE) data for an optimized crystal structure of CaGdTl, as listed in Alexandria.

Geometry as extended XYZ:
```
3
Lattice="-1.7083 1.7083 9.3489 1.7083 -1.7083 9.3489 1.7083 1.7083 -9.3489" Properties=species:S:1:pos:R:3 pbc="T T T"
Ca 0.0000 0.0000 0.0000
Gd 0.0000 0.0000 12.1879
Tl 0.0000 0.0000 15.3955
```

Properties
Energy above the lowest structure with this stoichiometry, eV per atom: 0.389
Energy of formation from the pure elements, eV per atom: 0.22

---

First-principles (PBE) data for an optimized crystal structure of CrGa2P, as listed in Alexandria.

Geometry as extended XYZ:
```
8
Lattice="-3.5903 3.5903 2.4405 3.5903 -3.5903 2.4405 3.5903 3.5903 -2.4405" Properties=species:S:1:pos:R:3 pbc="T T T"
Cr 0.0000 0.0000 0.0000
Cr 0.0000 3.5903 1.2203
Ga 1.7952 -1.6498 1.8304
Ga 1.9405 1.7952 0.6101
Ga 1.7952 5.2401 -0.6101
Ga 1.6498 1.7952 3.0507
P 3.5903 0.0000 1.2203
P 0.0000 0.0000 2.4405
```

Properties
Energy of formation from the pure elements, eV per atom: 0.45

---

Computed values of calculated total energy (unit: eV/cell) for the preceding records, in sequence: -55.24 -30.33 -91.98 -40.70 -32.66 -61.32 -36.01 -14.90 -25.79 -18.34 -17.79 -38.61.